# 1
A plane-wave DFT calculation with PBE was carried out for crystalline RbSr3V at its relaxed geometry.

## Properties
* excess energy over the best structure of this formula in the dataset: 0.0 meV/atom
* density of states at the Fermi level: 3.71 states/eV/cell
* space group: Pm-3m, No. 221
* energy of formation from the pure elements: 0.524 eV per atom
* total energy: -2.50 eV per atom

a b c (Å): 6.5126 6.5126 6.5126
angles (deg): 90.00 90.00 90.00
Each line ends with the local moment (μB).
Positions (direct):
V  0.0000  0.0000  0.0000  3.18
Rb  0.5000  0.5000  0.5000  -0.01
Sr  0.5000  0.0000  0.0000  0.10
Sr  0.0000  0.5000  0.0000  0.10
Sr  0.0000  0.0000  0.5000  0.10

# 2
A plane-wave DFT calculation with PBE was carried out for crystalline Zr2TaSi at its relaxed geometry.

## Properties
* density of states at the Fermi level: 4.31 states/eV/cell
* space group: P4/mmm, No. 123
* total energy: -8.73 eV per atom
* uncorrected formation energy: -0.138 eV per atom

a b c (Å): 2.9975 2.9975 8.6018
angles (deg): 90.00 90.00 90.00
Positions (direct):
Zr  0.0000  0.0000  0.0206
Ta  0.5000  0.5000  0.7500
Zr  0.0000  0.0000  0.4794
Si  0.5000  0.5000  0.2500

# 3
A plane-wave DFT calculation with PBE was carried out for crystalline NaSr2Ag at its relaxed geometry.

## Properties
* excess energy over the best structure of this formula in the dataset: 69.0 meV/atom
* density of states at the Fermi level: 2.03 states/eV/cell
* space group: R3m, No. 160
* energy of formation from the pure elements: -0.081 eV per atom
* total energy: -1.96 eV per atom

a b c (Å): 4.5552 4.5552 10.0159
angles (deg): 76.86 76.86 60.00
Positions (direct):
Na  0.5009  0.5009  0.4973
Sr  0.2709  0.2709  0.1874
Sr  0.0621  0.0621  0.8136
Ag  0.6661  0.6661  0.0018

# 4
A plane-wave DFT calculation with PBE was carried out for crystalline Ca2LaTe at its relaxed geometry.

## Properties
* density of states at the Fermi level: 3.47 states/eV/cell
* space group: R-3m, No. 166
* total energy: -3.61 eV per atom
* uncorrected formation energy: -0.593 eV per atom

a b c (Å): 10.8649 10.8649 10.8649
angles (deg): 21.72 21.72 21.72
Each line ends with the local moment (μB).
Positions (direct):
Te  0.7500  0.7500  0.7500  0.01
Ca  0.0199  0.0199  0.0199  0.04
Ca  0.4801  0.4801  0.4801  0.04
La  0.2500  0.2500  0.2500  0.29

# 5
A plane-wave DFT calculation with PBE was carried out for crystalline Nb2MoS3 at its relaxed geometry.

## Properties
* density of states at the Fermi level: 4.20 states/eV/cell
* space group: Imm2, No. 44
* total energy: -7.68 eV per atom
* uncorrected formation energy: -0.456 eV per atom

a b c (Å): 3.1912 5.7171 6.8719
angles (deg): 114.58 103.43 90.00
Positions (direct):
S  0.0000  0.9142  0.0000
Mo  0.5000  0.2060  0.0000
Nb  0.1934  0.9961  0.3868
S  0.3669  0.3756  0.7337
S  0.6331  0.6419  0.2663
Nb  0.8066  0.6092  0.6132

# 6
A plane-wave DFT calculation with PBE was carried out for crystalline GaFeAg3 at its relaxed geometry.

## Properties
* excess energy over the best structure of this formula in the dataset: 0.0 meV/atom
* density of states at the Fermi level: 3.14 states/eV/cell
* space group: Pm-3m, No. 221
* energy of formation from the pure elements: 0.893 eV per atom
* total energy: -3.12 eV per atom

a b c (Å): 4.9288 4.9288 4.9288
angles (deg): 90.00 90.00 90.00
Each line ends with the local moment (μB).
Positions (direct):
Fe  0.0000  0.0000  0.0000  2.87
Ga  0.5000  0.5000  0.5000  -0.01
Ag  0.0000  0.5000  0.0000  0.05
Ag  0.0000  0.0000  0.5000  0.08
Ag  0.5000  0.0000  0.0000  0.02

# 7
A plane-wave DFT calculation with PBE was carried out for crystalline ZnCdHg2S4 at its relaxed geometry.

## Properties
* space group: I-42m, No. 121
* total energy: -2.83 eV per atom
* uncorrected formation energy: -0.418 eV per atom

a b c (Å): 5.8419 5.8419 7.1353
angles (deg): 114.15 114.15 90.03
Positions (direct):
Zn  0.5001  0.5001  0.0002
Cd  0.0001  0.0001  0.0001
Hg  0.2501  0.7501  0.5002
Hg  0.7501  0.2501  0.5002
S  0.8515  0.3813  0.2328
S  0.3813  0.8515  0.2328
S  0.6186  0.6186  0.7671
S  0.1484  0.1484  0.7671

# 8
A plane-wave DFT calculation with PBE was carried out for crystalline Ba2HoUAs4 at its relaxed geometry.

## Properties
* density of states at the Fermi level: 4.28 states/eV/cell
* space group: P2/m, No. 10
* energy of formation from the pure elements: -1.089 eV per atom
* total energy: -5.88 eV per atom

a b c (Å): 4.3526 7.4279 7.8570
angles (deg): 108.58 90.00 90.00
Each line ends with the local moment (μB).
Positions (direct):
As  0.5000  0.7744  0.7999  -0.05
U  0.0000  0.0000  0.0000  1.39
As  0.5000  0.2256  0.2001  -0.05
Ba  0.0000  0.5000  0.5000  -0.02
As  0.0000  0.2543  0.7966  -0.04
Ho  0.5000  0.5000  0.0000  -0.03
Ba  0.5000  0.0000  0.5000  -0.01
As  0.0000  0.7457  0.2034  -0.04

# 9
A plane-wave DFT calculation with PBE was carried out for crystalline KCaTa at its relaxed geometry.

## Properties
* excess energy over the best structure of this formula in the dataset: 2109.8 meV/atom
* density of states at the Fermi level: 9.60 states/eV/cell
* space group: P6_3/mmc, No. 194
* energy of formation from the pure elements: 2.442 eV per atom
* total energy: -2.54 eV per atom

a b c (Å): 6.5006 6.5006 12.0310
angles (deg): 90.00 90.00 120.00
Each line ends with the local moment (μB).
Positions (direct):
Ca  0.0000  0.0000  0.2500  0.26
Ca  0.0000  0.0000  0.7500  0.26
Ta  0.0000  0.0000  0.0000  2.42
K  0.3333  0.6667  0.2500  0.03
Ta  0.0000  0.0000  0.5000  2.42
K  0.6667  0.3333  0.7500  0.03

# 10
A plane-wave DFT calculation with PBE was carried out for crystalline Li6FeBr8 at its relaxed geometry.

## Properties
* density of states at the Fermi level: 8.22 states/eV/cell
* space group: Fm-3m, No. 225
* total energy: -3.51 eV per atom
* uncorrected formation energy: -1.288 eV per atom

a b c (Å): 7.7852 7.7852 7.7852
angles (deg): 60.00 60.00 60.00
Each line ends with the local moment (μB).
Positions (direct):
Li  0.0000  0.0000  0.5000  0.00
Li  0.0000  0.5000  0.5000  0.00
Br  0.2402  0.7598  0.2402  0.05
Li  0.5000  0.0000  0.0000  0.00
Br  0.2500  0.2500  0.2500  0.00
Br  0.2402  0.7598  0.7598  0.05
Br  0.2402  0.2402  0.7598  0.05
Br  0.7500  0.7500  0.7500  0.00
Li  0.5000  0.0000  0.5000  0.00
Fe  0.0000  0.0000  0.0000  3.45
Li  0.0000  0.5000  0.0000  0.00
Br  0.7598  0.7598  0.2402  0.05
Br  0.7598  0.2402  0.7598  0.05
Li  0.5000  0.5000  0.0000  0.00
Br  0.7598  0.2402  0.2402  0.05

# 11
A plane-wave DFT calculation with PBE was carried out for crystalline CaCoCl at its relaxed geometry.

## Properties
* density of states at the Fermi level: 0.58 states/eV/cell
* space group: P-1, No. 2
* total energy: -4.69 eV per atom
* uncorrected formation energy: -1.041 eV per atom

a b c (Å): 3.8746 11.3198 3.8745
angles (deg): 80.63 60.00 80.69
Each line ends with the local moment (μB).
Positions (direct):
Ca  0.3552  0.3003  0.6836  -0.05
Ca  0.4807  0.9002  0.8115  -0.05
Cl  0.6452  0.4391  0.9727  -0.01
Co  0.0842  0.1012  0.4142  1.25
Cl  0.1908  0.7614  0.5223  -0.01
Co  0.7514  0.0994  0.0814  1.25

# 12
A plane-wave DFT calculation with PBE was carried out for crystalline Ho3GeCl3 at its relaxed geometry.

## Properties
* density of states at the Fermi level: 3.65 states/eV/cell
* space group: R-3, No. 148
* total energy: -4.97 eV per atom
* uncorrected formation energy: -1.561 eV per atom

a b c (Å): 6.8088 6.8088 10.8340
angles (deg): 71.69 71.69 60.00
Positions (direct):
Ho  0.0532  0.3868  0.8404
Cl  0.7725  0.4408  0.6800
Ho  0.2804  0.9468  0.1596
Ge  0.3333  0.3333  0.0000
Ho  0.6132  0.2804  0.1596
Cl  0.4408  0.1066  0.6800
Cl  0.5592  0.8934  0.3200
Ho  0.7196  0.0532  0.8404
Cl  0.8934  0.2275  0.3200
Ho  0.3868  0.7196  0.8404
Ge  0.6667  0.6667  0.0000
Ho  0.9468  0.6132  0.1596
Cl  0.1066  0.7725  0.6800
Cl  0.2275  0.5592  0.3200